1.
CuSi2Ir meta-GGA SCAN PBEsol geometry; Fermi-level density of states = 0.33 states/eV/atom; magnetization = 0.00 μB/f.u.
1.0
4.335 -1.413 0.000
4.335 1.413 0.000
-0.413 0.000 4.211
Cu Si Ir
1 2 1
Cartesian
0.000 0.000 0.000 Cu
1.816 0.000 3.450 Si
4.021 0.000 2.144 Si
6.400 0.000 1.362 Ir

=====

2.
CuSi2Ir meta-GGA SCAN PBEsol geometry; Fermi-level density of states = 0.35 states/eV/atom; magnetization = 0.00 μB/f.u.
1.0
2.834 0.000 0.000
0.000 4.007 0.000
0.000 0.000 4.678
Cu Si Ir
1 2 1
Cartesian
0.000 0.000 0.000 Cu
0.000 2.004 2.339 Si
1.417 2.004 0.000 Si
1.417 0.000 2.339 Ir

=====

Top of the stability list: 1, leading by 283 meV/atom.

=====

1.
CuSiIr meta-GGA SCAN PBEsol geometry; Fermi-level density of states = 0.68 states/eV/atom; magnetization = 0.00 μB/f.u.
1.0
0.000 2.358 6.082
1.389 0.000 6.082
1.389 2.358 0.000
Cu Si Ir
1 1 1
Cartesian
0.000 0.000 0.000 Cu
1.389 2.358 4.162 Si
1.389 2.358 8.319 Ir

=====

2.
CuSiIr meta-GGA SCAN PBEsol geometry; Fermi-level density of states = 0.40 states/eV/atom; magnetization = 0.00 μB/f.u.
1.0
0.000 2.756 2.756
2.756 0.000 2.756
2.756 2.756 0.000
Cu Si Ir
1 1 1
Cartesian
0.000 0.000 0.000 Cu
4.134 4.134 4.134 Si
2.756 2.756 2.756 Ir

=====

Top of the stability list: 2, leading by 487 meV/atom.

=====

1.
TaCuIr2 meta-GGA SCAN PBEsol geometry; Fermi-level density of states = 0.30 states/eV/atom; magnetization = 0.00 μB/f.u.
1.0
2.946 0.000 0.000
0.000 3.466 0.000
0.000 0.000 5.609
Ta Cu Ir
1 1 2
Cartesian
0.000 0.000 0.000 Ta
0.000 0.000 2.804 Cu
1.473 1.733 1.465 Ir
1.473 1.733 4.144 Ir

=====

2.
TaCuIr2 meta-GGA SCAN PBEsol geometry; Fermi-level density of states = 0.56 states/eV/atom; magnetization = 0.00 μB/f.u.
1.0
-1.984 1.984 3.625
1.984 -1.984 3.625
1.984 1.984 -3.625
Ta Cu Ir
1 1 2
Cartesian
0.000 0.000 0.000 Ta
0.000 0.000 3.625 Cu
1.984 0.000 1.813 Ir
0.000 1.984 1.813 Ir

=====

3.
TaCuIr2 meta-GGA SCAN PBEsol geometry; Fermi-level density of states = 0.12 states/eV/atom; magnetization = 0.00 μB/f.u.
1.0
0.000 3.062 3.062
3.062 0.000 3.062
3.062 3.062 0.000
Ta Cu Ir
1 1 2
Cartesian
0.000 0.000 0.000 Ta
3.062 3.062 3.062 Cu
1.531 1.531 1.531 Ir
4.592 4.592 4.592 Ir

=====

Top of the stability list: 2, leading by 38 meV/atom.

=====

1.
CuTcIr2 meta-GGA SCAN PBEsol geometry; Fermi-level density of states = 0.75 states/eV/atom; magnetization = 0.00 μB/f.u.
1.0
2.722 0.000 0.000
0.000 2.722 0.000
0.000 0.000 7.237
Cu Tc Ir
1 1 2
Cartesian
0.000 0.000 0.000 Cu
0.000 0.000 3.619 Tc
1.361 1.361 1.800 Ir
1.361 1.361 5.438 Ir

=====

2.
CuTcIr2 meta-GGA SCAN PBEsol geometry; Fermi-level density of states = 0.66 states/eV/atom; magnetization = 0.00 μB/f.u.
1.0
-1.386 2.217 4.376
1.386 -2.217 4.376
1.386 2.217 -4.376
Cu Tc Ir
1 1 2
Cartesian
0.000 0.000 0.000 Cu
0.000 0.000 4.376 Tc
1.386 0.000 2.055 Ir
0.000 2.217 2.322 Ir

=====

Top of the stability list: 1, leading by 282 meV/atom.

=====

1.
Cu2IrW meta-GGA SCAN PBEsol geometry; Fermi-level density of states = 0.65 states/eV/atom; magnetization = 0.00 μB/f.u.
1.0
2.710 0.000 0.000
0.000 3.771 0.000
0.000 0.000 5.236
Cu Ir W
2 1 1
Cartesian
0.000 0.000 0.000 Cu
1.355 1.886 1.120 Cu
0.000 0.000 2.579 Ir
1.355 1.886 3.780 W

=====

2.
Cu2IrW meta-GGA SCAN PBEsol geometry; Fermi-level density of states = 0.55 states/eV/atom; magnetization = 0.00 μB/f.u.
1.0
-1.480 2.123 4.127
1.480 -2.123 4.127
1.480 2.123 -4.127
Cu Ir W
2 1 1
Cartesian
0.000 0.000 0.000 Cu
0.000 2.123 2.305 Cu
1.480 0.000 2.095 Ir
0.000 0.000 4.319 W

=====

Top of the stability list: 1, leading by 112 meV/atom.

=====

1.
K2MnCu meta-GGA SCAN PBEsol geometry; Fermi-level density of states = 0.67 states/eV/atom; magnetization = 4.45 μB/f.u.
1.0
3.475 0.000 0.000
0.000 3.475 0.000
0.000 0.000 9.963
K Mn Cu
2 1 1
Cartesian
0.000 0.000 0.000 K
1.737 1.737 4.116 K
0.000 0.000 6.821 Mn
1.737 1.737 7.381 Cu

=====

2.
K2MnCu meta-GGA SCAN PBEsol geometry; Fermi-level density of states = 0.58 states/eV/atom; magnetization = 4.26 μB/f.u.
1.0
1.665 0.961 11.102
-1.665 0.961 11.102
0.000 -1.922 11.102
K Mn Cu
2 1 1
Cartesian
0.000 0.000 8.079 K
0.000 0.000 25.229 K
0.000 0.000 0.000 Mn
0.000 0.000 16.654 Cu

=====

3.
K2MnCu meta-GGA SCAN PBEsol geometry; Fermi-level density of states = 0.55 states/eV/atom; magnetization = 4.85 μB/f.u.
1.0
-2.303 2.303 5.210
2.303 -2.303 5.210
2.303 2.303 -5.210
K Mn Cu
2 1 1
Cartesian
2.303 0.000 2.605 K
0.000 2.303 2.605 K
0.000 0.000 0.000 Mn
0.000 0.000 5.210 Cu

=====

Top of the stability list: 1, leading by 392 meV/atom.

=====

1.
KNbCu3 meta-GGA SCAN PBEsol geometry; Fermi-level density of states = 0.68 states/eV/atom; magnetization = 0.00 μB/f.u.
1.0
4.886 0.000 0.000
0.000 4.886 0.000
0.000 0.000 4.886
K Nb Cu
1 1 3
Cartesian
0.000 0.000 0.000 K
2.443 2.443 2.443 Nb
0.000 2.443 2.443 Cu
2.443 0.000 2.443 Cu
2.443 2.443 0.000 Cu

=====

2.
KNbCu3 meta-GGA SCAN PBEsol geometry; Fermi-level density of states = 0.47 states/eV/atom; magnetization = 2.75 μB/f.u.
1.0
4.576 0.000 0.000
0.000 4.576 0.000
0.000 0.000 4.576
K Nb Cu
1 1 3
Cartesian
0.000 0.000 0.000 K
2.288 2.288 2.288 Nb
0.000 0.000 2.288 Cu
0.000 2.288 0.000 Cu
2.288 0.000 0.000 Cu

=====

Top of the stability list: 1, leading by 891 meV/atom.

=====

1.
KCuPO4 meta-GGA SCAN PBEsol geometry; magnetization = 1.00 μB/f.u.
1.0
4.955 0.000 0.000
0.000 9.619 0.000
-0.413 0.000 8.212
K Cu P O
4 4 4 16
Cartesian
0.977 0.000 2.220 K
0.867 8.191 6.218 K
3.676 3.381 1.994 K
3.565 4.810 5.992 K
0.797 2.101 7.560 Cu
1.579 5.955 3.324 Cu
2.963 1.145 4.888 Cu
3.745 6.911 0.652 Cu
1.218 5.164 0.350 P
1.070 2.977 4.614 P
3.473 7.786 3.598 P
3.325 0.354 7.862 P
0.002 7.466 3.622 O
0.041 6.388 7.986 O
0.319 3.928 7.784 O
0.895 4.944 1.854 O
1.303 4.501 4.586 O
1.876 2.181 3.541 O
1.807 2.432 5.932 O
1.793 0.536 8.067 O
2.750 5.346 0.145 O
2.735 7.241 2.280 O
2.666 6.991 4.671 O
3.240 9.311 3.627 O
3.648 0.134 6.358 O
4.223 8.737 0.428 O
4.502 1.579 0.227 O
4.540 2.656 4.591 O

=====

2.
KCuPO4 meta-GGA SCAN PBEsol geometry; magnetization = 1.00 μB/f.u.
1.0
6.666 0.000 0.000
0.000 17.820 0.000
0.000 0.000 6.860
K Cu P O
8 8 8 32
Cartesian
0.071 3.097 0.241 K
0.071 5.813 3.671 K
3.262 12.007 0.241 K
3.262 14.723 3.671 K
3.404 3.097 3.189 K
3.404 5.813 6.620 K
6.595 12.007 3.189 K
6.595 14.723 6.620 K
1.535 8.969 1.939 Cu
1.535 17.761 5.369 Cu
1.798 0.059 1.939 Cu
1.798 8.851 5.369 Cu
4.868 8.969 1.492 Cu
4.868 17.761 4.922 Cu
5.131 0.059 1.492 Cu
5.131 8.851 4.922 Cu
0.080 10.787 6.707 P
0.080 15.943 3.277 P
3.253 1.877 6.707 P
3.253 7.033 3.277 P
3.413 10.787 3.584 P
3.413 15.943 0.153 P
6.586 1.877 3.584 P
6.586 7.033 0.153 P
0.433 1.457 4.992 O
0.433 7.453 1.562 O
0.594 12.205 6.707 O
0.594 14.524 3.277 O
1.016 1.713 2.489 O
1.016 7.197 5.919 O
1.257 9.753 0.177 O
1.257 16.977 3.607 O
2.076 0.843 0.177 O
2.076 8.067 3.607 O
2.317 10.622 2.489 O
2.317 16.107 5.919 O
2.739 3.296 6.707 O
2.739 5.614 3.277 O
2.900 10.367 4.992 O
2.900 16.363 1.562 O
3.766 1.457 5.298 O
3.766 7.453 1.868 O
3.927 12.205 3.584 O
3.927 14.524 0.153 O
4.349 1.713 0.941 O
4.349 7.197 4.371 O
4.590 9.753 3.253 O
4.590 16.977 6.683 O
5.409 0.843 3.253 O
5.409 8.067 6.683 O
5.650 10.622 0.941 O
5.650 16.107 4.371 O
6.072 3.296 3.584 O
6.072 5.614 0.153 O
6.233 10.367 5.298 O
6.233 16.363 1.868 O

=====

Top of the stability list: 2, leading by 10 meV/atom.

=====

1.
KCu2Pt meta-GGA SCAN PBEsol geometry; Fermi-level density of states = 0.41 states/eV/atom; magnetization = 0.00 μB/f.u.
1.0
1.392 0.804 9.629
-1.392 0.804 9.629
0.000 -1.608 9.629
K Cu Pt
1 2 1
Cartesian
0.000 0.000 0.000 K
0.000 0.000 6.890 Cu
0.000 0.000 21.996 Cu
0.000 0.000 14.443 Pt

=====

2.
KCu2Pt meta-GGA SCAN PBEsol geometry; Fermi-level density of states = 0.44 states/eV/atom; magnetization = 0.00 μB/f.u.
1.0
-1.337 2.654 5.175
1.337 -2.654 5.175
1.337 2.654 -5.175
K Cu Pt
1 2 1
Cartesian
0.000 0.000 0.000 K
1.337 0.000 3.028 Cu
0.000 2.654 2.148 Cu
0.000 0.000 5.175 Pt

=====

Top of the stability list: 2, leading by 105 meV/atom.

=====

1.
KCu2Pt meta-GGA SCAN PBEsol geometry; Fermi-level density of states = 0.38 states/eV/atom; magnetization = 0.00 μB/f.u.
1.0
2.774 0.000 0.000
0.000 3.765 0.000
0.000 0.000 6.927
K Cu Pt
1 2 1
Cartesian
0.000 0.000 0.000 K
1.387 1.883 2.302 Cu
1.387 1.883 4.625 Cu
0.000 0.000 3.464 Pt

=====

2.
KCu2Pt meta-GGA SCAN PBEsol geometry; Fermi-level density of states = 0.46 states/eV/atom; magnetization = 0.00 μB/f.u.
1.0
0.000 3.220 3.220
3.220 0.000 3.220
3.220 3.220 0.000
K Cu Pt
1 2 1
Cartesian
0.000 0.000 0.000 K
1.610 1.610 1.610 Cu
3.220 3.220 3.220 Cu
4.830 4.830 4.830 Pt

=====

Top of the stability list: 1, leading by 513 meV/atom.

=====

1.
KCuPt2 meta-GGA SCAN PBEsol geometry; Fermi-level density of states = 0.54 states/eV/atom; magnetization = 0.00 μB/f.u.
1.0
2.674 0.000 0.000
0.000 4.172 0.000
-1.341 0.000 6.882
K Cu Pt
1 1 2
Cartesian
0.000 0.000 0.000 K
-0.671 0.000 3.441 Cu
0.077 2.086 4.617 Pt
1.255 2.086 2.264 Pt

=====

2.
KCuPt2 meta-GGA SCAN PBEsol geometry; Fermi-level density of states = 0.57 states/eV/atom; magnetization = 0.00 μB/f.u.
1.0
-1.967 1.967 4.375
1.967 -1.967 4.375
1.967 1.967 -4.375
K Cu Pt
1 1 2
Cartesian
0.000 0.000 0.000 K
0.000 0.000 4.375 Cu
1.967 0.000 2.187 Pt
0.000 1.967 2.187 Pt

=====

Top of the stability list: 1, leading by 333 meV/atom.

=====

1.
KCuSb2 meta-GGA SCAN PBEsol geometry; Fermi-level density of states = 0.43 states/eV/atom; magnetization = 0.00 μB/f.u.
1.0
0.000 3.688 3.688
3.688 0.000 3.688
3.688 3.688 0.000
K Cu Sb
1 1 2
Cartesian
0.000 0.000 0.000 K
5.532 5.532 5.532 Cu
1.844 1.844 1.844 Sb
3.688 3.688 3.688 Sb

=====

2.
KCuSb2 meta-GGA SCAN PBEsol geometry; Fermi-level density of states = 0.52 states/eV/atom; magnetization = 0.00 μB/f.u.
1.0
-1.939 1.985 7.341
1.939 -1.985 7.341
1.939 1.985 -7.341
K Cu Sb
1 1 2
Cartesian
0.000 0.000 0.000 K
0.000 1.985 3.460 Cu
1.939 0.000 2.940 Sb
0.000 0.000 5.157 Sb

=====

Top of the stability list: 2, leading by 338 meV/atom.